NaSi3Pd | GGA-PBE | optimized geometry

## Properties
**Total moment**: 0.000 μB/f.u.
**Energy relative to the elements, uncorrected**: 0.4895 eV per atom
**V**: 22.15 Å³ per atom
**SG**: Pm-3m, No. 221

a = 4.8022 Å, b = 4.8022 Å, c = 4.8022 Å
α = 90.00°, β = 90.00°, γ = 90.00°
Positions (direct):
Si  0.5000  0.0000  0.0000
Si  0.0000  0.0000  0.5000
Si  0.0000  0.5000  0.0000
Na  0.5000  0.5000  0.5000
Pd  0.0000  0.0000  0.0000